KVP2 after structural relaxation, computed with GGA-PBE.

abc: 8.0098 8.0098 8.0098
angles: 138.75 138.75 59.75
Fractional coordinates of all 8 atoms:
K (0.3750, 0.6250, 0.7500)
K (0.6250, 0.3750, 0.2500)
V (0.1250, 0.8750, 0.2500)
V (0.8750, 0.1250, 0.7500)
P (0.0000, 0.0000, 0.0000)
P (0.0000, 0.0000, 0.5000)
P (0.0000, 0.5000, 0.0000)
P (0.5000, 0.0000, 0.5000)

Results
* excess energy over the best structure of this formula in the dataset: 0.000 eV/f.u.
* SG: I4_1/amd
* D(E_F): 4.3 states/eV/cell



KPW3 after structural relaxation, computed with GGA-PBE.

abc: 4.6293 4.6293 4.6293
angles: 90.00 90.00 90.00
Fractional coordinates of all 5 atoms:
K (0.0000, 0.0000, 0.0000)
P (0.5000, 0.5000, 0.5000)
W (0.0000, 0.5000, 0.5000)
W (0.5000, 0.0000, 0.5000)
W (0.5000, 0.5000, 0.0000)

Results
* excess energy over the best structure of this formula in the dataset: 0.000 eV/f.u.
* SG: Pm-3m
* D(E_F): 9.3 states/eV/cell



KPW after structural relaxation, computed with GGA-PBE.

abc: 4.4974 4.4974 4.4974
angles: 60.00 60.00 60.00
Fractional coordinates of all 3 atoms:
K (0.0000, 0.0000, 0.0000)
P (0.2500, 0.2500, 0.2500)
W (0.5000, 0.5000, 0.5000)

Results
* excess energy over the best structure of this formula in the dataset: 4.889 eV/f.u.
* SG: F-43m
* D(E_F): 1.8 states/eV/cell



KPW after structural relaxation, computed with GGA-PBE.

abc: 6.7023 6.7023 6.7023
angles: 151.37 151.37 40.94
Fractional coordinates of all 3 atoms:
K (0.0000, 0.0000, 0.0000)
P (0.2727, 0.2727, 0.0000)
W (0.7245, 0.7245, 0.0000)

Results
* excess energy over the best structure of this formula in the dataset: 1.749 eV/f.u.
* SG: I4mm
* D(E_F): 1.7 states/eV/cell



KPW after structural relaxation, computed with GGA-PBE.

abc: 4.8986 4.8986 2.7483
angles: 90.00 90.00 120.00
Fractional coordinates of all 3 atoms:
K (0.0000, 0.0000, 0.0000)
P (0.6667, 0.3333, 0.5000)
W (0.3333, 0.6667, 0.5000)

Results
* excess energy over the best structure of this formula in the dataset: 4.462 eV/f.u.
* SG: P-6m2
* D(E_F): 2.7 states/eV/cell



KPW3 after structural relaxation, computed with GGA-PBE.

abc: 4.5520 4.5520 4.5520
angles: 90.00 90.00 90.00
Fractional coordinates of all 5 atoms:
K (0.0000, 0.0000, 0.0000)
P (0.5000, 0.5000, 0.5000)
W (0.0000, 0.0000, 0.5000)
W (0.0000, 0.5000, 0.0000)
W (0.5000, 0.0000, 0.0000)

Results
* excess energy over the best structure of this formula in the dataset: 12.092 eV/f.u.
* SG: Pm-3m
* D(E_F): 6.3 states/eV/cell



KPW after structural relaxation, computed with GGA-PBE.

abc: 7.6865 7.5050 2.9752
angles: 82.16 75.30 22.55
Fractional coordinates of all 3 atoms:
K (0.0000, 0.0000, 0.0000)
P (0.6796, 0.6796, 0.3204)
W (0.2909, 0.2909, 0.7091)

Results
* excess energy over the best structure of this formula in the dataset: 2.324 eV/f.u.
* SG: Fmm2
* D(E_F): 1.5 states/eV/cell



KPW after structural relaxation, computed with GGA-PBE.

abc: 4.8479 4.8479 4.8479
angles: 60.00 60.00 60.00
Fractional coordinates of all 3 atoms:
K (0.0000, 0.0000, 0.0000)
P (0.2500, 0.2500, 0.2500)
W (0.7500, 0.7500, 0.7500)

Results
* excess energy over the best structure of this formula in the dataset: 7.924 eV/f.u.
* SG: F-43m
* D(E_F): 2.1 states/eV/cell



KPW4 after structural relaxation, computed with GGA-PBE.

abc: 5.4540 5.4540 5.4540
angles: 60.00 60.00 60.00
Fractional coordinates of all 6 atoms:
K (0.0000, 0.0000, 0.0000)
P (0.7500, 0.7500, 0.7500)
W (0.3724, 0.3724, 0.3724)
W (0.3724, 0.3724, 0.8829)
W (0.3724, 0.8829, 0.3724)
W (0.8829, 0.3724, 0.3724)

Results
* SG: F-43m
* D(E_F): 4.6 states/eV/cell



KPW after structural relaxation, computed with GGA-PBE.

abc: 3.1562 3.1562 7.3094
angles: 90.00 90.00 120.00
Fractional coordinates of all 3 atoms:
K (0.0000, 0.0000, 0.0000)
P (0.6667, 0.3333, 0.3522)
W (0.3333, 0.6667, 0.5684)

Results
* excess energy over the best structure of this formula in the dataset: 2.000 eV/f.u.
* SG: P3m1



K6P4W after structural relaxation, computed with GGA-PBE.

abc: 10.0687 10.0687 8.0273
angles: 90.00 90.00 120.00
Fractional coordinates of all 22 atoms:
K (0.0655, 0.5327, 0.0000)
K (0.1462, 0.2923, 0.6800)
K (0.1462, 0.8538, 0.6800)
K (0.2923, 0.1462, 0.1800)
K (0.4673, 0.5327, 0.0000)
K (0.4673, 0.9345, 0.0000)
K (0.5327, 0.0655, 0.5000)
K (0.5327, 0.4673, 0.5000)
K (0.7077, 0.8538, 0.6800)
K (0.8538, 0.1462, 0.1800)
K (0.8538, 0.7077, 0.1800)
K (0.9345, 0.4673, 0.5000)
P (0.2058, 0.4117, 0.2986)
P (0.2058, 0.7942, 0.2986)
P (0.3333, 0.6667, 0.6799)
P (0.4117, 0.2058, 0.7986)
P (0.5883, 0.7942, 0.2986)
P (0.6667, 0.3333, 0.1799)
P (0.7942, 0.2058, 0.7986)
P (0.7942, 0.5883, 0.7986)
W (0.3333, 0.6667, 0.3908)
W (0.6667, 0.3333, 0.8908)

Results
* SG: P6_3mc



KPW after structural relaxation, computed with GGA-PBE.

abc: 3.8305 3.8305 11.4154
angles: 90.00 90.00 90.00
Fractional coordinates of all 6 atoms:
K (0.2500, 0.2500, 0.1994)
K (0.7500, 0.7500, 0.8006)
P (0.2500, 0.2500, 0.6450)
P (0.7500, 0.7500, 0.3550)
W (0.2500, 0.7500, 0.5000)
W (0.7500, 0.2500, 0.5000)

Results
* excess energy over the best structure of this formula in the dataset: 0.000 eV/f.u.
* SG: P4/nmm
* D(E_F): 2.4 states/eV/cell



KY2P2 after structural relaxation, computed with GGA-PBE.

abc: 7.7748 7.7748 7.7748
angles: 142.73 142.73 53.73
Fractional coordinates of all 5 atoms:
K (0.0000, 0.0000, 0.0000)
Y (0.2500, 0.7500, 0.5000)
Y (0.7500, 0.2500, 0.5000)
P (0.3363, 0.3363, 0.0000)
P (0.6637, 0.6637, 0.0000)

Results
* SG: I4/mmm
* D(E_F): 4.5 states/eV/cell



K2YP2 after structural relaxation, computed with GGA-PBE.

abc: 7.1521 7.1521 5.5322
angles: 90.00 90.00 90.00
Fractional coordinates of all 10 atoms:
K (0.1673, 0.3327, 0.0000)
K (0.3327, 0.8327, 0.0000)
K (0.6673, 0.1673, 0.0000)
K (0.8327, 0.6673, 0.0000)
Y (0.0000, 0.0000, 0.5000)
Y (0.5000, 0.5000, 0.5000)
P (0.1127, 0.6127, 0.5000)
P (0.3873, 0.1127, 0.5000)
P (0.6127, 0.8873, 0.5000)
P (0.8873, 0.3873, 0.5000)

Results
* excess energy over the best structure of this formula in the dataset: 0.000 eV/f.u.
* SG: P4/mbm
* D(E_F): 3.0 states/eV/cell



KY3P after structural relaxation, computed with GGA-PBE.

abc: 5.2910 5.2910 5.2910
angles: 90.00 90.00 90.00
Fractional coordinates of all 5 atoms:
K (0.0000, 0.0000, 0.0000)
Y (0.0000, 0.0000, 0.5000)
Y (0.0000, 0.5000, 0.0000)
Y (0.5000, 0.0000, 0.0000)
P (0.5000, 0.5000, 0.5000)

Results
* excess energy over the best structure of this formula in the dataset: 8.122 eV/f.u.
* SG: Pm-3m
* D(E_F): 3.4 states/eV/cell



KY2P after structural relaxation, computed with GGA-PBE.

abc: 9.2722 9.2722 9.2722
angles: 134.18 134.18 66.80
Fractional coordinates of all 8 atoms:
K (0.3750, 0.6250, 0.7500)
K (0.6250, 0.3750, 0.2500)
Y (0.0000, 0.0000, 0.0000)
Y (0.0000, 0.0000, 0.5000)
Y (0.0000, 0.5000, 0.0000)
Y (0.5000, 0.0000, 0.5000)
P (0.1250, 0.8750, 0.2500)
P (0.8750, 0.1250, 0.7500)

Results
* SG: I4_1/amd
* D(E_F): 8.2 states/eV/cell



K2YP2 after structural relaxation, computed with GGA-PBE.

abc: 7.5542 7.5542 7.5542
angles: 147.52 147.52 46.59
Fractional coordinates of all 5 atoms:
K (0.2500, 0.7500, 0.5000)
K (0.7500, 0.2500, 0.5000)
Y (0.0000, 0.0000, 0.0000)
P (0.4206, 0.4206, 0.0000)
P (0.5794, 0.5794, 0.0000)

Results
* excess energy over the best structure of this formula in the dataset: 0.858 eV/f.u.
* SG: I4/mmm
* D(E_F): 2.0 states/eV/cell



KY2P after structural relaxation, computed with GGA-PBE.

abc: 6.2540 6.2540 3.6011
angles: 106.48 106.48 113.04
Fractional coordinates of all 4 atoms:
K (0.0000, 0.0000, 0.0000)
Y (0.0000, 0.5000, 0.5000)
Y (0.5000, 0.0000, 0.5000)
P (0.5000, 0.5000, 0.0000)

Results
* SG: C2/m
* D(E_F): 3.7 states/eV/cell



KY2P after structural relaxation, computed with GGA-PBE.

abc: 3.5457 3.5457 10.3684
angles: 90.00 90.00 90.00
Fractional coordinates of all 4 atoms:
K (0.0000, 0.0000, 0.0000)
Y (0.5000, 0.5000, 0.3497)
Y (0.5000, 0.5000, 0.6503)
P (0.0000, 0.0000, 0.5000)

Results
* SG: P4/mmm
* D(E_F): 3.9 states/eV/cell



KY2P after structural relaxation, computed with GGA-PBE.

abc: 3.5761 3.5761 10.5516
angles: 90.00 90.00 102.83
Fractional coordinates of all 4 atoms:
K (0.0000, 0.0000, 0.0000)
Y (0.5000, 0.5000, 0.3425)
Y (0.5000, 0.5000, 0.6575)
P (0.0000, 0.0000, 0.5000)

Results
* SG: Cmmm
* D(E_F): 3.8 states/eV/cell



DFT formation energy for the records above, in order: -0.28 1.51 1.38 0.34 1.24 3.92 0.53 2.39 1.41 0.42 -0.42 -0.25 -0.86 -0.46 1.42 0.03 -0.28 0.18 -0.37 -0.37 eV/atom